1.
An optimized crystal structure of TmPa2Se6, computed with PBE.

Cell: 6.661 6.661 12.612 Å, 90.00 90.00 90.00°
Space group P4_2/mnm (No. 136)
Inequivalent atoms, fractional coordinates:
1 Tm 0.000 0.000 0.000 (multiplicity 2)
2 Pa 0.000 0.000 0.333 (multiplicity 4)
3 Se 0.196 0.196 0.500 (multiplicity 4)
4 Se 0.198 0.198 0.167 (multiplicity 8)

Calculated values
Energy above the lowest structure with this stoichiometry = 79 meV per atom
Spin magnetization = 1.1 μB/f.u.
Raw formation energy = -1.394 eV per atom
DFT total energy = -56.91 eV/f.u.
ρ = 6.56 g/cm3

***

2.
An optimized crystal structure of CrTcHg2, computed with PBE.

Cell: 10.732 3.071 4.845 Å, 90.00 116.00 90.00°
Space group Cm (No. 8)
Inequivalent atoms, fractional coordinates:
1 Cr 0.000 0.000 0.000 (multiplicity 2)
2 Tc 0.321 0.000 0.821 (multiplicity 2)
3 Hg 0.047 0.500 0.547 (multiplicity 2)
4 Hg 0.264 0.500 0.265 (multiplicity 2)

Calculated values
Energy above the lowest structure with this stoichiometry = 207 meV per atom
Spin magnetization = 1.0 μB/f.u.
Energy of formation from the pure elements = 0.53 eV/atom
DFT total energy = -18.46 eV/f.u.
ρ = 12.75 g/cm3

***

3.
An optimized crystal structure of Li3IO4, computed with PBE.

Cell: 6.528 5.722 5.612 Å, 90.00 90.00 90.00°
Space group Pmn2_1 (No. 31)
Inequivalent atoms, fractional coordinates:
1 Li 0.000 0.199 0.000 (multiplicity 2)
2 Li 0.239 0.344 0.496 (multiplicity 4)
3 I 0.000 0.840 0.386 (multiplicity 2)
4 O 0.000 0.180 0.356 (multiplicity 2)
5 O 0.000 0.843 0.048 (multiplicity 2)
6 O 0.248 0.337 0.856 (multiplicity 4)

Calculated values
Energy above the lowest structure with this stoichiometry = 0 meV per atom
Spin magnetization = 0.0 μB/f.u.
Raw formation energy = -1.350 eV per atom
DFT total energy = -37.92 eV/f.u.
ρ = 3.35 g/cm3

***

4.
An optimized crystal structure of PmI3N, computed with PBE.

Cell: 6.191 8.981 9.567 Å, 101.96 106.39 90.04°
Space group P-1 (No. 2)
Inequivalent atoms, fractional coordinates:
1 Pm 0.002 0.251 0.004 (multiplicity 2)
2 I 0.106 0.049 0.241 (multiplicity 2)
3 I 0.106 0.558 0.242 (multiplicity 2)
4 I 0.493 0.746 0.984 (multiplicity 2)
5 N 0.324 0.162 0.638 (multiplicity 2)

Calculated values
Spin magnetization = 3.0 μB/f.u.
Raw formation energy = -0.068 eV per atom
DFT total energy = -18.07 eV/f.u.
ρ = 3.60 g/cm3

***

5.
An optimized crystal structure of KPt2, computed with PBE.

Cell: 4.8520 4.8520 2.9070 Å, 90.00 90.00 120.00°
Space group P6/mmm (No. 191)
Inequivalent atoms, fractional coordinates:
1 K 0.0000 0.0000 0.0000 (multiplicity 1)
2 Pt 0.3333 0.6667 0.5000 (multiplicity 2)

Calculated values
Spin magnetization = 0.0 μB/f.u.
Energy of formation from the pure elements = 0.32 eV/atom
DFT total energy = -12.21 eV/f.u.
ρ = 12.03 g/cm3

***

6.
An optimized crystal structure of ZrSi2As, computed with PBE.

Cell: 3.765 4.859 8.015 Å, 90.00 90.00 90.00°
Space group Cmm2 (No. 35)
Inequivalent atoms, fractional coordinates:
1 Zr 0.000 0.000 0.000 (multiplicity 2)
2 Si 0.000 0.000 0.442 (multiplicity 2)
3 Si 0.000 0.500 0.244 (multiplicity 2)
4 As 0.000 0.500 0.748 (multiplicity 2)

Calculated values
Energy above the lowest structure with this stoichiometry = 302 meV per atom
Spin magnetization = 0.0 μB/f.u.
Raw formation energy = -0.050 eV per atom
DFT total energy = -24.24 eV/f.u.
ρ = 5.04 g/cm3

***

7.
An optimized crystal structure of Ca7Tl2Ga2, computed with PBE.

Cell: 7.639 11.611 8.299 Å, 90.00 90.00 90.00°
Space group Cmmm (No. 65)
Inequivalent atoms, fractional coordinates:
1 Ca 0.000 0.000 0.000 (multiplicity 2)
2 Ca 0.000 0.500 0.281 (multiplicity 4)
3 Ca 0.250 0.250 0.296 (multiplicity 8)
4 Tl 0.000 0.304 0.000 (multiplicity 4)
5 Ga 0.164 0.000 0.500 (multiplicity 4)

Calculated values
Spin magnetization = 0.0 μB/f.u.
Energy of formation from the pure elements = -0.18 eV/atom
DFT total energy = -26.75 eV/f.u.
ρ = 3.74 g/cm3

***

8.
An optimized crystal structure of Nd2Dy2HoTm4, computed with PBE.

Cell: 18.559 3.577 9.503 Å, 90.00 115.74 90.00°
Space group C2/m (No. 12)
Inequivalent atoms, fractional coordinates:
1 Nd 0.165 0.000 0.000 (multiplicity 4)
2 Dy 0.147 0.500 0.662 (multiplicity 4)
3 Ho 0.000 0.500 0.000 (multiplicity 2)
4 Tm 0.020 0.000 0.335 (multiplicity 4)
5 Tm 0.185 0.500 0.337 (multiplicity 4)

Calculated values
Spin magnetization = 0.0 μB/f.u.
Energy of formation from the pure elements = 0.00 eV/atom
DFT total energy = -41.22 eV/f.u.
ρ = 8.50 g/cm3

***

9.
An optimized crystal structure of V6ReW3, computed with PBE.

Cell: 9.272 2.965 11.619 Å, 90.00 110.66 90.00°
Space group P2_1/m (No. 11)
Inequivalent atoms, fractional coordinates:
1 V 0.000 0.250 0.180 (multiplicity 2)
2 V 0.138 0.750 0.360 (multiplicity 2)
3 V 0.241 0.250 0.806 (multiplicity 2)
4 V 0.286 0.250 0.213 (multiplicity 2)
5 V 0.286 0.250 0.558 (multiplicity 2)
6 V 0.396 0.750 0.022 (multiplicity 2)
7 Re 0.436 0.750 0.766 (multiplicity 2)
8 W 0.079 0.750 0.602 (multiplicity 2)
9 W 0.136 0.250 0.004 (multiplicity 2)
10 W 0.429 0.750 0.400 (multiplicity 2)

Calculated values
Energy above the lowest structure with this stoichiometry = 374 meV per atom
Spin magnetization = 0.0 μB/f.u.
Energy of formation from the pure elements = 0.23 eV/atom
DFT total energy = -103.70 eV/f.u.
ρ = 11.59 g/cm3

***

10.
An optimized crystal structure of Cs2AgBi2, computed with PBE.

Cell: 11.393 11.393 3.580 Å, 90.00 90.00 90.00°
Space group P4/mbm (No. 127)
Inequivalent atoms, fractional coordinates:
1 Cs 0.203 0.297 0.000 (multiplicity 4)
2 Ag 0.000 0.000 0.500 (multiplicity 2)
3 Bi 0.091 0.591 0.500 (multiplicity 4)

Calculated values
Energy above the lowest structure with this stoichiometry = 305 meV per atom
Spin magnetization = 0.0 μB/f.u.
Energy of formation from the pure elements = 0.04 eV/atom
DFT total energy = -12.14 eV/f.u.
ρ = 5.66 g/cm3

***

11.
An optimized crystal structure of Pm2SmHoTm2, computed with PBE.

Cell: 6.969 16.263 3.493 Å, 90.00 90.00 90.00°
Space group Pnnm (No. 58)
Inequivalent atoms, fractional coordinates:
1 Pm 0.248 0.161 0.000 (multiplicity 4)
2 Sm 0.000 0.500 0.000 (multiplicity 2)
3 Ho 0.000 0.000 0.500 (multiplicity 2)
4 Tm 0.249 0.348 0.500 (multiplicity 4)

Calculated values
Spin magnetization = 0.0 μB/f.u.
Energy of formation from the pure elements = 0.15 eV/atom
DFT total energy = -26.83 eV/f.u.
ρ = 7.91 g/cm3

***

12.
An optimized crystal structure of TlAsI4, computed with PBE.

Cell: 9.745 18.345 7.695 Å, 90.00 124.60 90.00°
Space group C2/c (No. 15)
Inequivalent atoms, fractional coordinates:
1 Tl 0.000 0.071 0.250 (multiplicity 4)
2 As 0.000 0.423 0.750 (multiplicity 4)
3 I 0.196 0.324 0.744 (multiplicity 8)
4 I 0.212 0.443 0.209 (multiplicity 8)

Calculated values
Energy above the lowest structure with this stoichiometry = 8 meV per atom
Spin magnetization = 0.0 μB/f.u.
Raw formation energy = -0.311 eV per atom
DFT total energy = -15.08 eV/f.u.
ρ = 4.62 g/cm3

***

13.
An optimized crystal structure of BaLiMg2, computed with PBE.

Cell: 3.6450 3.6450 31.8165 Å, 90.00 90.00 120.00°
Space group R-3m (No. 166, hexagonal axes)
Inequivalent atoms, fractional coordinates:
1 Ba 0.0000 0.0000 0.0000 (multiplicity 3)
2 Li 0.0000 0.0000 0.5000 (multiplicity 3)
3 Mg 0.0000 0.0000 0.2366 (multiplicity 6)

Calculated values
Energy above the lowest structure with this stoichiometry = 235 meV per atom
Spin magnetization = 0.0 μB/f.u.
Energy of formation from the pure elements = 0.19 eV/atom
DFT total energy = -6.27 eV/f.u.
ρ = 2.62 g/cm3

***

14.
An optimized crystal structure of TbIn2SnSe4, computed with PBE.

Cell: 7.478 4.173 7.587 Å, 90.00 108.64 90.00°
Space group P2/m (No. 10)
Inequivalent atoms, fractional coordinates:
1 Tb 0.000 0.000 0.000 (multiplicity 1)
2 In 0.000 0.500 0.500 (multiplicity 1)
3 In 0.500 0.000 0.500 (multiplicity 1)
4 Sn 0.500 0.500 0.000 (multiplicity 1)
5 Se 0.229 0.500 0.225 (multiplicity 2)
6 Se 0.239 0.000 0.762 (multiplicity 2)

Calculated values
Spin magnetization = 0.0 μB/f.u.
Raw formation energy = -0.829 eV per atom
DFT total energy = -34.68 eV/f.u.
ρ = 6.09 g/cm3

***

15.
An optimized crystal structure of PrDy3HoSc, computed with PBE.

Cell: 4.974 14.921 10.001 Å, 90.00 90.00 90.00°
Space group Cmcm (No. 63)
Inequivalent atoms, fractional coordinates:
1 Pr 0.000 0.003 0.250 (multiplicity 4)
2 Dy 0.000 0.168 0.000 (multiplicity 8)
3 Dy 0.000 0.330 0.250 (multiplicity 4)
4 Ho 0.000 0.500 0.000 (multiplicity 4)
5 Sc 0.000 0.331 0.750 (multiplicity 4)

Calculated values
Spin magnetization = 0.0 μB/f.u.
Energy of formation from the pure elements = 0.04 eV/atom
DFT total energy = -29.26 eV/f.u.
ρ = 7.50 g/cm3

***

16.
An optimized crystal structure of La2Sm15Y2, computed with PBE.

Cell: 11.4383 11.4383 17.8492 Å, 90.00 90.00 120.00°
Space group R-3m (No. 166, hexagonal axes)
Inequivalent atoms, fractional coordinates:
1 La 0.0000 0.0000 0.1740 (multiplicity 6)
2 Sm 0.0000 0.2950 0.5000 (multiplicity 18)
3 Sm 0.0000 0.5000 0.0000 (multiplicity 9)
4 Sm 0.0133 0.5067 0.6378 (multiplicity 18)
5 Y 0.0000 0.0000 0.4048 (multiplicity 6)

Calculated values
Spin magnetization = 0.2 μB/f.u.
Energy of formation from the pure elements = 0.24 eV/atom
DFT total energy = -88.93 eV/f.u.
ρ = 6.68 g/cm3

***

17.
An optimized crystal structure of AcPr3Sm2Y6, computed with PBE.

Cell: 6.340 10.980 11.977 Å, 90.00 100.13 90.00°
Space group C2/m (No. 12)
Inequivalent atoms, fractional coordinates:
1 Ac 0.000 0.000 0.000 (multiplicity 2)
2 Pr 0.000 0.167 0.500 (multiplicity 4)
3 Pr 0.000 0.500 0.500 (multiplicity 2)
4 Sm 0.000 0.333 0.000 (multiplicity 4)
5 Y 0.248 0.332 0.749 (multiplicity 8)
6 Y 0.248 0.500 0.251 (multiplicity 4)

Calculated values
Spin magnetization = 0.0 μB/f.u.
Energy of formation from the pure elements = 0.02 eV/atom
DFT total energy = -66.48 eV/f.u.
ρ = 6.00 g/cm3

***

18.
An optimized crystal structure of MgMoRh2, computed with PBE.

Cell: 3.373 3.373 5.479 Å, 90.00 90.00 90.00°
Space group P4mm (No. 99)
Inequivalent atoms, fractional coordinates:
1 Mg 0.000 0.000 0.000 (multiplicity 1)
2 Mo 0.500 0.500 0.306 (multiplicity 1)
3 Rh 0.000 0.000 0.499 (multiplicity 1)
4 Rh 0.500 0.500 0.801 (multiplicity 1)

Calculated values
Spin magnetization = 0.0 μB/f.u.
Energy of formation from the pure elements = 0.04 eV/atom
DFT total energy = -26.95 eV/f.u.
ρ = 8.68 g/cm3

***

19.
An optimized crystal structure of PrDyScCd, computed with PBE.

Cell: 7.664 7.664 7.664 Å, 90.00 90.00 90.00°
Space group F-43m (No. 216)
Inequivalent atoms, fractional coordinates:
1 Pr 0.000 0.000 0.000 (multiplicity 4)
2 Dy 0.000 0.000 0.500 (multiplicity 4)
3 Sc 0.250 0.250 0.750 (multiplicity 4)
4 Cd 0.250 0.250 0.250 (multiplicity 4)

Calculated values
Energy above the lowest structure with this stoichiometry = 74 meV per atom
Spin magnetization = 0.1 μB/f.u.
Energy of formation from the pure elements = -0.05 eV/atom
DFT total energy = -16.82 eV/f.u.
ρ = 6.80 g/cm3

***

20.
An optimized crystal structure of Tb3PrTl4Se8, computed with PBE.

Cell: 8.4870 8.4870 23.2992 Å, 90.00 90.00 120.00°
Space group R-3m (No. 166, hexagonal axes)
Inequivalent atoms, fractional coordinates:
1 Tb 0.0000 0.5000 0.0000 (multiplicity 9)
2 Pr 0.0000 0.0000 0.0000 (multiplicity 3)
3 Tl 0.0000 0.0000 0.5000 (multiplicity 3)
4 Tl 0.0000 0.5000 0.5000 (multiplicity 9)
5 Se 0.0000 0.0000 0.2653 (multiplicity 6)
6 Se 0.0080 0.5040 0.2641 (multiplicity 18)

Calculated values
Spin magnetization = 0.0 μB/f.u.
Raw formation energy = -1.384 eV per atom
DFT total energy = -78.15 eV/f.u.
ρ = 7.08 g/cm3

***

21.
An optimized crystal structure of CaTbAg, computed with PBE.

Cell: 5.1917 5.1917 3.6066 Å, 90.00 90.00 120.00°
Space group P3m1 (No. 156)
Inequivalent atoms, fractional coordinates:
1 Ca 0.0000 0.0000 0.0000 (multiplicity 1)
2 Tb 0.3333 0.6667 0.4447 (multiplicity 1)
3 Ag 0.6667 0.3333 0.7276 (multiplicity 1)

Calculated values
Energy above the lowest structure with this stoichiometry = 187 meV per atom
Spin magnetization = 0.0 μB/f.u.
Energy of formation from the pure elements = 0.03 eV/atom
DFT total energy = -9.40 eV/f.u.
ρ = 6.05 g/cm3

***

22.
An optimized crystal structure of ScVCu2, computed with PBE.

Cell: 7.040 7.040 5.207 Å, 90.00 90.00 90.00°
Space group I-42d (No. 122)
Inequivalent atoms, fractional coordinates:
1 Sc 0.000 0.000 0.000 (multiplicity 4)
2 V 0.000 0.000 0.500 (multiplicity 4)
3 Cu 0.226 0.250 0.625 (multiplicity 8)

Calculated values
Energy above the lowest structure with this stoichiometry = 343 meV per atom
Spin magnetization = 2.2 μB/f.u.
Energy of formation from the pure elements = 0.39 eV/atom
DFT total energy = -22.10 eV/f.u.
ρ = 5.74 g/cm3